(1)
Entry from Alexandria via LeMat-Bulk: Mg2ReSe at its PBEsol-relaxed geometry (meta-GGA SCAN).

DFT total energy, eV per atom: -25.152
Total magnetization, μB/cell: 0.7
Formation energy (no corrections), meV/atom: 129

abc: 3.3950 3.3950 5.7629
angles: 90.00 90.00 90.00
Closest atoms and distances in Å follow each position.
Space group P4/mmm (No. 123)
Asymmetric unit:
Mg  0.0000  0.0000  0.2397 [2 per cell]  2 Mg 2.76-3.00, 4 Re 2.77, 4 Se 2.83
Re  0.5000  0.5000  0.0000 [1 per cell]  8 Mg 2.77, 2 Se 2.88
Se  0.5000  0.5000  0.5000 [1 per cell]  8 Mg 2.83, 2 Re 2.88

---

(2)
Entry from Alexandria via LeMat-Bulk: Mg2ReSe at its PBEsol-relaxed geometry (meta-GGA SCAN).

DFT total energy, eV per atom: -25.124
Total magnetization, μB/cell: 1.6
Formation energy (no corrections), meV/atom: 157

abc: 3.0658 3.0658 25.3072
angles: 90.00 90.00 120.00
Closest atoms and distances in Å follow each position.
Space group R-3m (No. 166, hexagonal axes)
Asymmetric unit:
Mg  0.0000  0.0000  0.2489 [6 per cell]  3 Se 2.73, 3 Re 2.77
Re  0.0000  0.0000  0.0000 [3 per cell]  6 Mg 2.77, 6 Re 3.07
Se  0.0000  0.0000  0.5000 [3 per cell]  6 Mg 2.73

---

(3)
Entry from Alexandria via LeMat-Bulk: MgRe2Si at its PBEsol-relaxed geometry (meta-GGA SCAN).

DFT total energy, eV per atom: -39.157
Total magnetization, μB/cell: 0.0
Formation energy (no corrections), meV/atom: 139

abc: 9.3333 2.9562 4.4046
angles: 90.00 108.83 90.00
Closest atoms and distances in Å follow each position.
Space group Cm (No. 8)
Asymmetric unit:
Mg  0.0000  0.0000  0.0000 [2 per cell]  7 Re 2.63-2.75, 3 Si 2.84-2.85
Re  0.0000  0.5000  0.4945 [2 per cell]  2 Si 2.52, 2 Re 2.62, 4 Mg 2.63-2.67
Re  0.2386  0.0000  0.7702 [2 per cell]  2 Re 2.62, 4 Si 2.65-2.68, 3 Mg 2.73-2.75
Si  0.2692  0.5000  0.2947 [2 per cell]  6 Re 2.52-2.68

---

(4)
Entry from Alexandria via LeMat-Bulk: MgRe3Sn at its PBEsol-relaxed geometry (meta-GGA SCAN).

E_form, eV/f.u.: 13.21
DFT total energy, eV per atom: -48.196
Total magnetization, μB/cell: 3.3

abc: 4.8138 4.8138 4.8138
angles: 90.00 90.00 90.00
Closest atoms and distances in Å follow each position.
Space group Pm-3m (No. 221)
Asymmetric unit:
Mg  0.0000  0.0000  0.0000 [1 per cell]  12 Re 3.40
Re  0.0000  0.5000  0.5000 [3 per cell]  2 Sn 2.41
Sn  0.5000  0.5000  0.5000 [1 per cell]  6 Re 2.41